{
  "formula": "Tl2WBr",
  "functional": "GGA-PBE",
  "state": "relaxed",
  "e_above_lowest_polymorph_ev_per_atom": 0.3083,
  "formation_energy_uncorrected_mev_per_atom": 793,
  "m_tot_mub_per_cell": 1.143,
  "lattice": [[7.760, 0.000, -0.006], [5.743, 5.219, 0.006], [-6.342, -3.670, 2.556]],
  "species": ["Tl", "Tl", "W", "Br"],
  "frac_coords": [[0.434, 0.434, 0.000], [0.066, 0.066, 0.000], [0.250, 0.750, 0.500], [0.750, 0.250, 0.500]]
}

---

{
  "formula": "Ba2SnHPb",
  "functional": "GGA-PBE",
  "state": "relaxed",
  "e_above_lowest_polymorph_ev_per_atom": 0.0000,
  "m_tot_mub_per_cell": 0.000,
  "lattice": [[5.447, 0.000, 0.000], [0.000, 5.447, 0.000], [0.000, 0.000, 5.112]],
  "species": ["Ba", "Ba", "Pb", "Sn", "H"],
  "frac_coords": [[0.000, 0.500, 0.000], [0.500, 0.000, 0.000], [0.500, 0.500, 0.500], [0.000, 0.000, 0.500], [0.000, 0.000, 0.000]]
}